P:
The following is a PBE with a Hubbard U calculation of a geometry-optimized ZrNiO2 structure, from Alexandria via LeMat-Bulk.

Results
As for the space group: P2_1/m, No. 11.

The structure in POSCAR format:
```
ZrNiO2
1.0
6.7116 -0.0714 0.1465
-1.4420 5.6887 -0.0532
4.9907 -0.4818 2.9690
Ni O Zr
2 4 2
direct
0.4298 0.6911 0.2151
0.9289 0.3588 0.7383
0.4288 0.6806 0.8636
0.4295 0.9310 0.5411
0.9291 0.1185 0.4123
0.9298 0.3688 0.0898
0.4288 0.2931 0.7937
0.9298 0.7563 0.1597
```

Q:
The following is a PBE with a Hubbard U calculation of a geometry-optimized ZrNiO2 structure, from Alexandria via LeMat-Bulk.

Results
As for the space group: R-3m, No. 166.

The structure in POSCAR format:
```
ZrNiO2
1.0
-4.4095 -3.5076 1.7866
-1.5110 -4.8013 3.0989
-3.0329 -2.1185 4.6101
Ni O Zr
1 2 1
direct
0.0000 0.0000 0.0000
0.8859 0.8859 0.8859
0.1141 0.1141 0.1141
0.5000 0.5000 0.5000
```

R:
The following is a PBE with a Hubbard U calculation of a geometry-optimized ZrNiO2 structure, from Alexandria via LeMat-Bulk.

Results
As for the space group: R-3m, No. 166.

The structure in POSCAR format:
```
ZrNiO2
1.0
1.8233 0.0000 6.1182
-0.9117 1.5790 6.1182
-0.9117 -1.5790 6.1182
Ni O Zr
1 2 1
direct
0.5000 0.5000 0.5000
0.8909 0.8909 0.8909
0.1091 0.1091 0.1091
0.0000 0.0000 0.0000
```

S:
The following is a PBE with a Hubbard U calculation of a geometry-optimized ZrNiO2 structure, from Alexandria via LeMat-Bulk.

Results
As for the space group: Cm, No. 8.

The structure in POSCAR format:
```
ZrNiO2
1.0
5.6868 0.1670 0.0574
-1.3130 6.3678 0.0621
-0.9429 -0.2236 3.0807
Ni O Zr
2 4 2
direct
0.3157 0.8573 0.6027
0.3567 0.5667 0.1236
0.7327 0.5120 0.3109
0.9649 0.9115 0.4274
0.6468 0.0677 0.7681
0.1015 0.3104 0.9956
0.8694 0.2256 0.3794
0.7642 0.7469 0.8268
```

Which structure is most stable? P, by 0.030 eV/atom over the runner-up.